VASP calculation (PBE-GGA) on an optimized crystal structure of La3ScCd.

a b c (Å): 6.2519 6.2519 10.6967
angles (deg): 94.55 94.55 49.27
With the nearest neighbours (Å) after each atom.
Sites, in units of the cell vectors:
La1 0.0476 0.0476 0.3607  2 La 3.26-3.62, 1 Cd 3.38, 5 Sc 3.44-3.62
La2 0.2611 0.2611 0.7573  3 Cd 3.44-3.74, 3 Sc 3.53-3.58, 6 La 3.59-3.74
La3 0.4180 0.4180 0.1283  5 Cd 3.32-3.61, 3 La 3.45-3.59, 1 Sc 3.59
La4 0.5820 0.5820 0.8717  5 Cd 3.32-3.61, 3 La 3.45-3.59, 1 Sc 3.59
La5 0.7389 0.7389 0.2427  3 Cd 3.44-3.74, 3 Sc 3.53-3.58, 6 La 3.59-3.74
La6 0.9524 0.9524 0.6393  2 La 3.26-3.62, 1 Cd 3.38, 5 Sc 3.44-3.62
Sc1 0.3509 0.3509 0.4499  9 La 3.44-3.62, 3 Sc 3.46-3.69
Sc2 0.6491 0.6491 0.5501  9 La 3.44-3.62, 3 Sc 3.46-3.69
Cd1 0.1231 0.1231 0.0622  1 Cd 2.99, 2 La 3.32
Cd2 0.8769 0.8769 0.9378  1 Cd 2.99, 2 La 3.32

Total magnetic moment in μB per formula unit: 0.0
Relative energy among the computed polymorphs in eV per formula unit: 0.00
Space group: C2/m
Energy of formation in eV per atom: -0.0598

=====

VASP calculation (PBE-GGA) on an optimized crystal structure of La5ScCd6.

a b c (Å): 9.4517 9.4517 5.4096
angles (deg): 106.43 106.43 49.04
With the nearest neighbours (Å) after each atom.
Sites, in units of the cell vectors:
La1 0.0000 0.0000 0.0000  8 Cd 3.31-3.52
La2 0.1629 0.1629 0.6638  8 Cd 3.44-3.49, 4 La 3.75-3.81
La3 0.3223 0.3223 0.3217  8 Cd 3.27-3.47
La4 0.6777 0.6777 0.6783  8 Cd 3.27-3.47
La5 0.8371 0.8371 0.3362  8 Cd 3.44-3.49, 4 La 3.75-3.81
Sc1 0.5000 0.5000 0.0000  8 Cd 3.10-3.18
Cd1 0.1166 0.5739 0.8443  1 Sc 3.10, 6 La 3.27-3.47
Cd2 0.2874 0.7126 0.5000  2 Sc 3.18, 1 Cd 3.34, 6 La 3.35-3.52
Cd3 0.4261 0.8834 0.1557  1 Sc 3.10, 6 La 3.27-3.47
Cd4 0.5739 0.1166 0.8443  1 Sc 3.10, 6 La 3.27-3.47
Cd5 0.7126 0.2874 0.5000  2 Sc 3.18, 1 Cd 3.34, 6 La 3.35-3.52
Cd6 0.8834 0.4261 0.1557  1 Sc 3.10, 6 La 3.27-3.47

Total magnetic moment in μB per formula unit: 0.6
Space group: C2/m
Energy of formation in eV per atom: -0.3040

=====

VASP calculation (PBE-GGA) on an optimized crystal structure of La2ScCd.

a b c (Å): 3.5287 4.6358 7.0644
angles (deg): 90.00 90.00 90.00
With the nearest neighbours (Å) after each atom.
Sites, in units of the cell vectors:
La1 0.0000 0.0000 0.0000  1 Sc 3.29, 4 Cd 3.44, 6 La 3.47-3.53
La2 0.5000 0.5000 0.2672  2 Cd 3.34-3.72, 6 La 3.47-3.53, 4 Sc 3.47
Sc1 0.0000 0.0000 0.5349  4 Cd 3.26, 5 La 3.29-3.47, 2 Sc 3.53
Cd1 0.5000 0.5000 0.7406  4 Sc 3.26, 5 La 3.34-3.44, 2 Cd 3.53

Total magnetic moment in μB per formula unit: 0.0
Space group: Pmm2
Energy of formation in eV per atom: -0.0509

=====

VASP calculation (PBE-GGA) on an optimized crystal structure of La2ScCd.

a b c (Å): 5.7025 5.7025 3.7267
angles (deg): 90.00 90.00 90.00
With the nearest neighbours (Å) after each atom.
Sites, in units of the cell vectors:
La1 0.0000 0.5000 0.0000  4 Cd 3.41, 4 Sc 3.41, 2 La 3.73
La2 0.5000 0.0000 0.0000  4 Cd 3.41, 4 Sc 3.41, 2 La 3.73
Sc1 0.0000 0.0000 0.5000  8 La 3.41, 2 Sc 3.73
Cd1 0.5000 0.5000 0.5000  8 La 3.41, 2 Cd 3.73

Total magnetic moment in μB per formula unit: 0.0
Space group: P4/mmm
Energy of formation in eV per atom: -0.1139

=====

VASP calculation (PBE-GGA) on an optimized crystal structure of LaScCd6.

a b c (Å): 5.1104 7.1995 5.1108
angles (deg): 90.00 90.00 90.00
With the nearest neighbours (Å) after each atom.
Sites, in units of the cell vectors:
La1 0.0000 0.0000 0.0000  8 Cd 3.21-3.22
Sc1 0.5000 0.5000 0.4969  8 Cd 3.04
Cd1 0.0000 0.2709 0.5004  5 Cd 3.04-3.30, 2 Sc 3.04, 2 La 3.21-3.22
Cd2 0.0000 0.5000 0.0009  8 Cd 3.04
Cd3 0.0000 0.7291 0.5004  5 Cd 3.04-3.30, 2 Sc 3.04, 2 La 3.21-3.22
Cd4 0.5000 0.0000 0.4983  8 Cd 3.21-3.22
Cd5 0.5000 0.2709 0.9969  2 Sc 3.04, 5 Cd 3.04-3.30, 2 La 3.21
Cd6 0.5000 0.7291 0.9969  2 Sc 3.04, 5 Cd 3.04-3.30, 2 La 3.21

Total magnetic moment in μB per formula unit: 0.0
Relative energy among the computed polymorphs in eV per formula unit: 0.00
Space group: Pmm2
Energy of formation in eV per atom: -0.2458

=====

VASP calculation (PBE-GGA) on an optimized crystal structure of La2ScCd.

a b c (Å): 11.1603 11.1603 11.1603
angles (deg): 18.69 18.69 18.69
With the nearest neighbours (Å) after each atom.
Sites, in units of the cell vectors:
La1 0.2500 0.2500 0.2500  3 Cd 3.45, 3 Sc 3.45, 6 La 3.62
La2 0.7500 0.7500 0.7500  3 Cd 3.45, 3 Sc 3.45, 6 La 3.62
Sc1 0.0000 0.0000 0.0000  6 La 3.45, 6 Sc 3.62
Cd1 0.5000 0.5000 0.5000  6 La 3.45, 6 Cd 3.62

Total magnetic moment in μB per formula unit: 0.0
Space group: R-3m
Energy of formation in eV per atom: 0.0015